{"formula": "V4HgO7", "functional": "PBE+U", "state": "relaxed", "cell": [[14.3702, 0.0000, 0.0000], [0.0000, 5.8615, 0.0000], [0.0000, 0.0000, 5.3844]], "species": ["V", "V", "V", "V", "V", "V", "V", "V", "Hg", "Hg", "O", "O", "O", "O", "O", "O", "O", "O", "O", "O", "O", "O", "O", "O"], "frac_coords": [[0.1201, 0.1820, 0.0000], [0.2485, 0.3305, 0.4988], [0.2515, 0.6695, 0.9988], [0.3799, 0.8180, 0.5000], [0.6201, 0.8180, 0.5000], [0.7485, 0.6695, 0.9988], [0.7515, 0.3305, 0.4988], [0.8799, 0.1820, 0.0000], [0.0000, 0.7287, 0.4731], [0.5000, 0.2713, 0.9731], [0.0000, 0.2488, 0.9222], [0.1421, 0.2499, 0.3234], [0.1608, 0.8993, 0.9602], [0.2051, 0.3875, 0.8426], [0.2949, 0.6125, 0.3426], [0.3392, 0.1007, 0.4602], [0.3579, 0.7501, 0.8234], [0.5000, 0.7512, 0.4222], [0.6421, 0.7501, 0.8234], [0.6608, 0.1007, 0.4602], [0.7051, 0.6125, 0.3426], [0.7949, 0.3875, 0.8426], [0.8392, 0.8993, 0.9602], [0.8579, 0.2499, 0.3234]], "magnetic_moment_mub_per_atom": 0.50, "sg": "Pmn2_1, No. 31", "total_energy_ev_per_atom": -7.071}